# 1
CeSm6Ho3 (PBE, relaxed); energy relative to the lowest polymorph listed for this composition = 0.1387 eV per atom; total magnetic moment = 0.8 μB/f.u.; DFT formation energy = 0.228 eV per atom; raw total energy = -4.57 eV per atom; DOS at the Fermi energy = 18.05 states/eV/f.u.
1.0
5.578 0.000 0.000
0.000 10.061 0.000
-2.604 0.000 12.047
Ce Sm Ho
2 12 6
direct
0.000 0.000 0.000
0.000 0.500 0.500
0.002 0.183 0.500
0.002 0.317 0.000
0.118 0.001 0.265
0.118 0.499 0.765
0.417 0.170 0.856
0.417 0.330 0.356
0.583 0.670 0.644
0.583 0.830 0.144
0.882 0.501 0.235
0.882 0.999 0.735
0.998 0.683 0.000
0.998 0.817 0.500
0.417 0.668 0.363
0.417 0.832 0.863
0.500 0.000 0.500
0.500 0.500 0.000
0.583 0.168 0.137
0.583 0.332 0.637



# 2
CaCd2Au2 (PBE, relaxed); energy relative to the lowest polymorph listed for this composition = 0.0701 eV per atom; total magnetic moment = 0.0 μB/f.u.; DFT formation energy = -0.397 eV per atom; raw total energy = -2.47 eV per atom; DOS at the Fermi energy = 1.86 states/eV/f.u.
1.0
-2.112 2.112 13.271
2.112 -2.112 13.271
2.112 2.112 -13.271
Ca Cd Au
2 4 4
direct
0.115 0.115 0.000
0.885 0.885 0.000
0.000 0.500 0.500
0.321 0.321 0.000
0.500 0.000 0.500
0.679 0.679 0.000
0.250 0.750 0.500
0.424 0.424 0.000
0.576 0.576 0.000
0.750 0.250 0.500